{"formula": "CrCuCl", "functional": "GGA-PBEsol", "state": "relaxed", "lattice_angstrom": [[-1.486, 1.486, 5.356], [1.486, -1.486, 5.356], [1.486, 1.486, -5.356]], "species": ["Cr", "Cu", "Cl"], "fractional_positions": [[0.000, 0.000, 0.000], [0.646, 0.646, 0.000], [0.355, 0.355, 0.000]], "vol_a3_per_cell": 47.33, "e_form_raw_ev_per_atom": 0.35, "e_tot_ev_per_atom": -5.18, "de_polymorph_ev_per_atom": 0.091}